(1)
Density functional theory data (PBE) for a relaxed KNaPb11 crystal.

a = 6.476 Å, b = 8.958 Å, c = 8.573 Å
α = 82.51°, β = 67.81°, γ = 69.80°
Fractional positions:
Pb 0.994 0.647 0.359
Pb 0.500 0.776 0.219
Pb 0.000 0.500 0.000
Pb 0.000 0.000 0.500
Pb 0.006 0.353 0.641
Pb 0.500 0.000 0.500
Pb 0.500 0.224 0.781
Pb 0.719 0.776 0.781
Pb 0.648 0.353 0.359
Pb 0.281 0.224 0.219
Pb 0.352 0.647 0.641
Na 0.500 0.500 0.000
K 0.000 0.000 0.000

Summary:
ΔE_f: -0.044 eV/atom
space group: C2/m

***

(2)
Density functional theory data (PBE) for a relaxed Ac2SiS crystal.

a = 6.286 Å, b = 6.286 Å, c = 7.758 Å
α = 66.08°, β = 66.08°, γ = 89.99°
Fractional positions:
S 0.375 0.125 0.250
S 0.625 0.875 0.750
Ac 0.625 0.375 0.750
Ac 0.875 0.125 0.250
Ac 0.375 0.625 0.250
Ac 0.125 0.875 0.750
Si 0.125 0.375 0.750
Si 0.875 0.625 0.250

Summary:
E_form (uncorrected): -1.32 eV/atom
space group: I4_1/amd

***

(3)
Density functional theory data (PBE) for a relaxed SbIr4Pb crystal.

a = 5.392 Å, b = 5.392 Å, c = 5.392 Å
α = 60.00°, β = 60.00°, γ = 60.00°
Fractional positions:
Sb 0.000 0.000 0.000
Ir 0.375 0.375 0.375
Ir 0.375 0.375 0.875
Ir 0.875 0.375 0.375
Ir 0.375 0.875 0.375
Pb 0.750 0.750 0.750

Summary:
E_form (uncorrected): 0.42 eV/atom
space group: F-43m

***

(4)
Density functional theory data (PBE) for a relaxed TaCoMo3 crystal.

a = 4.442 Å, b = 4.442 Å, c = 4.442 Å
α = 90.00°, β = 90.00°, γ = 90.00°
Fractional positions:
Mo 0.500 0.000 0.000
Mo 0.000 0.000 0.500
Mo 0.000 0.500 0.000
Ta 0.500 0.500 0.500
Co 0.000 0.000 0.000

Summary:
ΔE_f: 1.076 eV/atom
space group: Pm-3m

***

(5)
Density functional theory data (PBE) for a relaxed MnPbAu2 crystal.

a = 7.141 Å, b = 4.548 Å, c = 3.982 Å
α = 90.00°, β = 56.12°, γ = 122.79°
Last column: magnetic moment on the atom in μB.
Fractional positions:
Mn 0.000 0.500 0.500  4.04
Au 0.000 0.000 0.000  0.01
Au 0.500 0.000 0.500  0.01
Pb 0.500 0.500 0.000  -0.03

Summary:
ΔE_f: 0.133 eV/atom
space group: Cmmm

***

(6)
Density functional theory data (PBE) for a relaxed Ta2CoW crystal.

a = 2.757 Å, b = 2.757 Å, c = 8.296 Å
α = 90.00°, β = 90.00°, γ = 90.00°
Fractional positions:
W 0.500 0.500 0.250
Ta 0.000 0.000 0.534
Ta 0.000 0.000 0.966
Co 0.500 0.500 0.750

Summary:
ΔE_f: 0.031 eV/atom
space group: P4/mmm

***

(7)
Density functional theory data (PBE) for a relaxed Y2Pa2Se7 crystal.

a = 4.842 Å, b = 4.842 Å, c = 13.648 Å
α = 90.00°, β = 90.00°, γ = 90.00°
Last column: magnetic moment on the atom in μB.
Fractional positions:
Se 0.000 0.000 0.500  -0.03
Se 0.500 0.500 0.256  -0.02
Se 0.000 0.000 0.764  -0.02
Se 0.500 0.500 0.500  -0.04
Se 0.500 0.500 0.000  0.00
Se 0.500 0.500 0.744  -0.02
Se 0.000 0.000 0.236  -0.02
Y 0.500 0.000 0.863  0.01
Y 0.000 0.500 0.137  0.01
Pa 0.000 0.500 0.626  0.98
Pa 0.500 0.000 0.374  0.98

Summary:
E_form (uncorrected): -1.45 eV/atom
space group: P-4m2

***

(8)
Density functional theory data (PBE) for a relaxed HfGa3I crystal.

a = 5.446 Å, b = 5.446 Å, c = 5.446 Å
α = 90.00°, β = 90.00°, γ = 90.00°
Last column: magnetic moment on the atom in μB.
Fractional positions:
Ga 0.500 0.000 0.000  0.09
Ga 0.000 0.500 0.000  0.17
Ga 0.000 0.000 0.500  0.15
I 0.500 0.500 0.500  0.08
Hf 0.000 0.000 0.000  0.55

Summary:
E_form (uncorrected): 0.54 eV/atom
space group: Pm-3m

***

(9)
Density functional theory data (PBE) for a relaxed SrMg2W crystal.

a = 4.931 Å, b = 2.973 Å, c = 6.454 Å
α = 80.16°, β = 90.00°, γ = 90.00°
Fractional positions:
Mg 0.000 0.141 0.966
Mg 0.500 0.117 0.212
Sr 0.000 0.483 0.503
W 0.500 0.759 0.820

Summary:
ΔE_f: 0.741 eV/atom
space group: Pm

***

(10)
Density functional theory data (PBE) for a relaxed SrNi4W crystal.

a = 4.979 Å, b = 4.979 Å, c = 4.979 Å
α = 60.00°, β = 60.00°, γ = 60.00°
Last column: magnetic moment on the atom in μB.
Fractional positions:
W 0.000 0.000 0.000  0.88
Ni 0.373 0.373 0.373  0.17
Ni 0.880 0.373 0.373  0.17
Ni 0.373 0.880 0.373  0.17
Ni 0.373 0.373 0.880  0.17
Sr 0.750 0.750 0.750  0.05

Summary:
ΔE_f: 0.447 eV/atom
space group: F-43m

***

(11)
Density functional theory data (PBE) for a relaxed TlCoCl2 crystal.

a = 7.789 Å, b = 7.789 Å, c = 7.789 Å
α = 37.75°, β = 37.75°, γ = 37.75°
Last column: magnetic moment on the atom in μB.
Fractional positions:
Cl 0.901 0.901 0.901  0.02
Cl 0.099 0.099 0.099  0.02
Tl 0.500 0.500 0.500  0.00
Co 0.000 0.000 0.000  1.93

Summary:
E_form (uncorrected): -0.34 eV/atom
space group: R-3m

***

(12)
Density functional theory data (PBE) for a relaxed LiTl2Te2Pd crystal.

a = 6.248 Å, b = 6.319 Å, c = 9.500 Å
α = 109.43°, β = 109.20°, γ = 90.00°
Fractional positions:
Pd 0.000 0.750 0.000
Pd 0.000 0.250 0.000
Tl 0.081 0.327 0.654
Tl 0.426 0.173 0.346
Tl 0.574 0.827 0.654
Tl 0.919 0.673 0.346
Te 0.661 0.399 0.797
Te 0.339 0.601 0.203
Te 0.137 0.899 0.797
Te 0.863 0.101 0.203
Li 0.500 0.750 0.000
Li 0.500 0.250 0.000

Summary:
E_form (uncorrected): -0.42 eV/atom
space group: Ibam

***

(13)
Density functional theory data (PBE) for a relaxed Tl2TcRhO6 crystal.

a = 5.668 Å, b = 5.668 Å, c = 5.671 Å
α = 59.89°, β = 59.89°, γ = 89.85°
Fractional positions:
Tl 0.750 0.250 0.500
Tl 0.250 0.750 0.500
O 0.743 0.743 0.516
O 0.257 0.257 0.484
O 0.742 0.258 0.000
O 0.741 0.740 0.002
O 0.259 0.260 0.998
O 0.258 0.742 0.000
Rh 0.000 0.000 0.000
Tc 0.500 0.500 0.000

Summary:
E_form (uncorrected): -0.83 eV/atom
space group: C2/m

***

(14)
Density functional theory data (PBE) for a relaxed AcTlGe2Pd5 crystal.

a = 4.628 Å, b = 4.628 Å, c = 8.347 Å
α = 90.00°, β = 90.00°, γ = 90.00°
Fractional positions:
Pd 0.500 0.000 0.260
Pd 0.500 0.000 0.740
Pd 0.000 0.500 0.260
Pd 0.000 0.500 0.740
Pd 0.500 0.500 0.500
Ac 0.000 0.000 0.500
Ge 0.500 0.500 0.849
Ge 0.500 0.500 0.151
Tl 0.000 0.000 0.000

Summary:
ΔE_f: -0.478 eV/atom
space group: P4/mmm

***

(15)
Density functional theory data (PBE) for a relaxed LiCeSnSe3 crystal.

a = 4.052 Å, b = 8.889 Å, c = 9.118 Å
α = 99.51°, β = 90.00°, γ = 90.00°
Last column: magnetic moment on the atom in μB.
Fractional positions:
Sn 0.250 0.656 0.162  0.00
Sn 0.750 0.344 0.838  0.00
Se 0.750 0.197 0.465  -0.02
Se 0.250 0.803 0.535  -0.02
Se 0.750 0.900 0.127  -0.02
Se 0.250 0.100 0.873  -0.02
Se 0.250 0.602 0.852  -0.01
Se 0.750 0.398 0.148  -0.01
Ce 0.250 0.163 0.216  0.96
Ce 0.750 0.837 0.784  0.96
Li 0.250 0.097 0.589  0.00
Li 0.750 0.903 0.411  0.00

Summary:
E_form (uncorrected): -1.17 eV/atom
space group: P2_1/m

***

(16)
Density functional theory data (PBE) for a relaxed Al3SeI crystal.

a = 5.873 Å, b = 5.873 Å, c = 5.873 Å
α = 90.00°, β = 90.00°, γ = 90.00°
Fractional positions:
Al 0.500 0.000 0.000
Al 0.000 0.000 0.500
Al 0.000 0.500 0.000
I 0.000 0.000 0.000
Se 0.500 0.500 0.500

Summary:
E_form (uncorrected): 1.01 eV/atom
space group: Pm-3m

***

(17)
Density functional theory data (PBE) for a relaxed BaSr2Mg crystal.

a = 4.288 Å, b = 4.288 Å, c = 10.521 Å
α = 90.00°, β = 90.00°, γ = 90.00°
Fractional positions:
Sr 0.000 0.000 0.950
Sr 0.500 0.500 0.238
Mg 0.500 0.500 0.762
Ba 0.000 0.000 0.551

Summary:
ΔE_f: -0.021 eV/atom
space group: P4mm

***

Number 1: mass density 9.0 Mg/m³, N(E_F) 4.6 states/eV per cell. Number 2: mass density 6.8 Mg/m³, N(E_F) 1.8 states/eV per cell. Number 3: mass density 16.4 Mg/m³, N(E_F) 9.4 states/eV per cell. Number 4: mass density 10.0 Mg/m³, N(E_F) 5.2 states/eV per cell. Number 5: mass density 13.4 Mg/m³, N(E_F) 1.8 states/eV per cell. Number 6: mass density 15.9 Mg/m³, N(E_F) 2.9 states/eV per cell. Number 7: mass density 6.2 Mg/m³, N(E_F) 10.8 states/eV per cell. Number 8: mass density 5.3 Mg/m³, N(E_F) 8.2 states/eV per cell. Number 9: mass density 5.7 Mg/m³, N(E_F) 2.6 states/eV per cell. Number 10: mass density 9.6 Mg/m³, N(E_F) 9.1 states/eV per cell. Number 11: mass density 3.5 Mg/m³, N(E_F) 0.0 states/eV per cell. Number 12: mass density 7.8 Mg/m³, N(E_F) 5.6 states/eV per cell. Number 13: mass density 9.1 Mg/m³, N(E_F) 4.5 states/eV per cell. Number 14: mass density 10.3 Mg/m³, N(E_F) 3.1 states/eV per cell. Number 15: mass density 5.2 Mg/m³, N(E_F) 12.2 states/eV per cell. Number 16: mass density 2.4 Mg/m³, N(E_F) 0.0 states/eV per cell. Number 17: mass density 2.9 Mg/m³, N(E_F) 5.0 states/eV per cell.